[1]
A plane-wave DFT calculation with GGA-PBE was carried out for Sc3InRh2 after structural relaxation.

Properties
Uncorrected energy: -41.3 eV per cell
Calculated volume: 113 Å³/f.u.

Cell lengths 3.1681, 3.1681, 11.2909 Å; angles 90.00, 90.00, 90.00 degrees
Last column: nearest neighbours and their distance in Å.
Positions (direct):
Sc: 0.0000 0.0000 0.2961  4 Rh 2.78
Sc: 0.0000 0.0000 0.7039  4 Rh 2.78
Sc: 0.0000 0.0000 0.0000  8 Rh 2.82
In: 0.5000 0.5000 0.5000  4 In 3.17, 8 Sc 3.21
Rh: 0.5000 0.5000 0.8490  8 Sc 2.78-2.82
Rh: 0.5000 0.5000 0.1510  8 Sc 2.78-2.82



[2]
A plane-wave DFT calculation with GGA-PBE was carried out for Ca2PuTl9 after structural relaxation.

Properties
Uncorrected energy: -41.6 eV per cell
Calculated volume: 341 Å³/f.u.

Cell lengths 4.8420, 4.8420, 14.5299 Å; angles 90.00, 90.00, 90.00 degrees
Last column: nearest neighbours and their distance in Å.
Positions (direct):
Tl: 0.5000 0.5000 0.0000  8 Tl 3.40, 4 Pu 3.42
Tl: 0.0000 0.5000 0.1647  8 Tl 3.40-3.42, 2 Pu 3.40, 2 Ca 3.43
Tl: 0.5000 0.0000 0.8353  8 Tl 3.40-3.42, 2 Pu 3.40, 2 Ca 3.43
Tl: 0.0000 0.5000 0.5000  8 Tl 3.42-3.45, 4 Ca 3.44
Tl: 0.5000 0.5000 0.6690  8 Tl 3.42-3.45, 4 Ca 3.42
Tl: 0.5000 0.5000 0.3310  8 Tl 3.42-3.45, 4 Ca 3.42
Tl: 0.5000 0.0000 0.1647  8 Tl 3.40-3.42, 2 Pu 3.40, 2 Ca 3.43
Tl: 0.5000 0.0000 0.5000  8 Tl 3.42-3.45, 4 Ca 3.44
Tl: 0.0000 0.5000 0.8353  8 Tl 3.40-3.42, 2 Pu 3.40, 2 Ca 3.43
Pu: 0.0000 0.0000 0.0000  12 Tl 3.40-3.42
Ca: 0.0000 0.0000 0.6678  12 Tl 3.42-3.44
Ca: 0.0000 0.0000 0.3322  12 Tl 3.42-3.44



[3]
A plane-wave DFT calculation with GGA-PBE was carried out for Nd4Al3Tl after structural relaxation.

Properties
Uncorrected energy: -35.5 eV per cell
Calculated volume: 216 Å³/f.u.

Cell lengths 3.7543, 3.7543, 15.3009 Å; angles 90.00, 90.00, 90.00 degrees
Last column: nearest neighbours and their distance in Å.
Positions (direct):
Nd: 0.0000 0.0000 0.8631  4 Al 3.24, 4 Tl 3.38
Nd: 0.0000 0.0000 0.3798  8 Al 3.23-3.24
Nd: 0.0000 0.0000 0.6202  8 Al 3.23-3.24
Nd: 0.0000 0.0000 0.1369  4 Al 3.24, 4 Tl 3.38
Al: 0.5000 0.5000 0.7421  8 Nd 3.24
Al: 0.5000 0.5000 0.5000  8 Nd 3.23
Al: 0.5000 0.5000 0.2579  8 Nd 3.24
Tl: 0.5000 0.5000 0.0000  8 Nd 3.38, 4 Tl 3.75



[4]
A plane-wave DFT calculation with GGA-PBE was carried out for Rb3DyCl6 after structural relaxation.

Properties
Calculated volume: 357 Å³/f.u.
E_form (uncorrected): -21.42 eV per formula unit

Cell lengths 7.8004, 8.2264, 11.1378 Å; angles 90.00, 89.21, 90.00 degrees
Last column: nearest neighbours and their distance in Å.
Positions (direct):
Cl: 0.8807 0.9487 0.2214  1 Dy 2.66
Cl: 0.3345 0.7661 0.4279  1 Dy 2.67
Cl: 0.7266 0.1769 0.9480  1 Dy 2.65
Cl: 0.1193 0.0513 0.7786  1 Dy 2.66
Cl: 0.7734 0.6769 0.5520  1 Dy 2.65
Cl: 0.3807 0.5513 0.7214  1 Dy 2.66
Cl: 0.8345 0.7339 0.9279  1 Dy 2.67
Cl: 0.2734 0.8231 0.0520  1 Dy 2.65
Cl: 0.6193 0.4487 0.2786  1 Dy 2.66
Cl: 0.6655 0.2339 0.5721  1 Dy 2.67
Cl: 0.1655 0.2661 0.0721  1 Dy 2.67
Cl: 0.2266 0.3231 0.4480  1 Dy 2.65
Rb: 0.9748 0.4324 0.7441  6 Cl 3.32-3.63
Rb: 0.0000 0.0000 0.5000  6 Cl 3.24-3.33
Rb: 0.0252 0.5676 0.2559  6 Cl 3.32-3.63
Rb: 0.5252 0.9324 0.7559  6 Cl 3.32-3.63
Rb: 0.5000 0.5000 0.0000  6 Cl 3.24-3.33
Rb: 0.4748 0.0676 0.2441  6 Cl 3.32-3.63
Dy: 0.0000 0.0000 0.0000  6 Cl 2.65-2.67
Dy: 0.5000 0.5000 0.5000  6 Cl 2.65-2.67



[5]
A plane-wave DFT calculation with GGA-PBE was carried out for CrHOs2Rh after structural relaxation.

Properties
Uncorrected energy: -42.3 eV per cell
Calculated volume: 57 Å³/f.u.

Cell lengths 3.8561, 3.8561, 3.8506 Å; angles 90.00, 90.00, 90.00 degrees
Last column: nearest neighbours and their distance in Å.
Positions (direct):
H: 0.0000 0.0000 0.0000  2 Cr 1.93, 4 Os 1.93
Rh: 0.5000 0.5000 0.5000  8 Os 2.72, 4 Cr 2.73
Cr: 0.0000 0.0000 0.5000  2 H 1.93
Os: 0.0000 0.5000 0.0000  2 H 1.93
Os: 0.5000 0.0000 0.0000  2 H 1.93